(1)
DFT (GGA-PBE) results for a relaxed Ho2PaAgS6 crystal.

Properties
crystal system	tetragonal
volume	266.49	Å³ per cell
uncorrected formation energy	-1.19	eV per atom
mass density	5.37	Mg/m³

Cell: 6.6798 6.3162 6.3162 Å, 90.00 90.00 90.00°
Closest atoms and distances in Å follow each position.
Sites, in units of the cell vectors:
Ho: 0.9856 0.0000 0.5000  4 S 2.70
Ag: 0.5085 0.0000 0.0000  1 S 2.39
S: 0.1513 0.0000 0.0000  1 Ag 2.39
S: 0.7581 0.2433 0.7567  1 Pa 2.55, 2 Ho 2.70, 1 Ag 2.74
Pa: 0.5911 0.5000 0.5000  5 S 2.55-2.66
Ho: 0.9856 0.5000 0.0000  4 S 2.70
S: 0.7581 0.7567 0.2433  1 Pa 2.55, 2 Ho 2.70, 1 Ag 2.74
S: 0.7581 0.7567 0.7567  1 Pa 2.55, 2 Ho 2.70, 1 Ag 2.74
S: 0.1925 0.5000 0.5000  1 Pa 2.66
S: 0.7581 0.2433 0.2433  1 Pa 2.55, 2 Ho 2.70, 1 Ag 2.74



(2)
DFT (GGA-PBE) results for a relaxed Ho3PaAg3Se8 crystal.

Properties
crystal system	monoclinic
DOS(E_F)	0.240	states/eV/atom
volume	387.75	Å³ per cell
uncorrected formation energy	-1.19	eV per atom
mass density	7.20	Mg/m³

Cell: 8.3325 8.3312 8.0607 Å, 121.29 90.00 120.01°
Closest atoms and distances in Å follow each position.
Sites, in units of the cell vectors:
Ag: 0.0000 0.0000 0.0000  6 Se 2.90-2.93
Se: 0.7491 0.4982 0.7460  3 Ho 2.88, 3 Ag 2.90-2.92
Ag: 0.0000 0.5000 0.0000  6 Se 2.92-2.93
Ag: 0.5000 0.5000 0.0000  6 Se 2.92-2.93
Se: 0.7511 0.0050 0.2574  2 Ho 2.86, 1 Pa 2.88, 2 Ag 2.92-2.93
Ho: 0.5000 0.0000 0.5000  6 Se 2.86-2.88
Se: 0.2509 0.5018 0.2540  3 Ho 2.88, 3 Ag 2.90-2.92
Se: 0.7512 0.5023 0.2575  2 Ho 2.86, 1 Pa 2.88, 2 Ag 2.93
Pa: 0.0000 0.0000 0.5000  6 Se 2.88
Se: 0.2488 0.4977 0.7425  2 Ho 2.86, 1 Pa 2.88, 2 Ag 2.93
Se: 0.7461 0.9950 0.7426  2 Ho 2.86, 1 Pa 2.88, 2 Ag 2.92-2.93
Se: 0.2539 0.0050 0.2574  2 Ho 2.86, 1 Pa 2.88, 2 Ag 2.92-2.93
Se: 0.2489 0.9950 0.7426  2 Ho 2.86, 1 Pa 2.88, 2 Ag 2.92-2.93
Ho: 0.0000 0.5000 0.5000  6 Se 2.86-2.88
Ho: 0.5000 0.5000 0.5000  6 Se 2.86-2.88



(3)
DFT (GGA-PBE) results for a relaxed HoPaAgSn crystal.

Properties
crystal system	cubic
energy relative to the elements	-0.10	eV per atom
DOS(E_F)	2.345	states/eV/atom
volume	102.05	Å³ per cell
mass density	10.13	Mg/m³

Cell: 5.2454 5.2454 5.2454 Å, 60.00 60.00 60.00°
Closest atoms and distances in Å follow each position.
Sites, in units of the cell vectors:
Sn: 0.7500 0.7500 0.7500  4 Ho 3.21, 4 Pa 3.21
Ag: 0.2500 0.2500 0.2500  4 Pa 3.21, 4 Ho 3.21
Ho: 0.0000 0.0000 0.0000  4 Sn 3.21, 4 Ag 3.21
Pa: 0.5000 0.5000 0.5000  4 Sn 3.21, 4 Ag 3.21



(4)
DFT (GGA-PBE) results for a relaxed HoPaTcAg crystal.

Properties
crystal system	cubic
energy relative to the elements	0.01	eV per atom
DOS(E_F)	1.593	states/eV/atom
volume	87.00	Å³ per cell
mass density	11.49	Mg/m³

Cell: 4.9737 4.9737 4.9737 Å, 60.00 60.00 60.00°
Closest atoms and distances in Å follow each position.
Sites, in units of the cell vectors:
Tc: 0.0000 0.0000 0.0000  4 Pa 3.05, 4 Ho 3.05
Pa: 0.2500 0.2500 0.2500  4 Tc 3.05, 4 Ag 3.05
Ag: 0.5000 0.5000 0.5000  4 Ho 3.05, 4 Pa 3.05
Ho: 0.7500 0.7500 0.7500  4 Ag 3.05, 4 Tc 3.05



(5)
DFT (GGA-PBE) results for a relaxed HoPaTlAg crystal.

Properties
crystal system	cubic
energy relative to the elements	0.10	eV per atom
DOS(E_F)	2.028	states/eV/atom
volume	103.36	Å³ per cell
mass density	11.38	Mg/m³

Cell: 5.2677 5.2677 5.2677 Å, 60.00 60.00 60.00°
Closest atoms and distances in Å follow each position.
Sites, in units of the cell vectors:
Tl: 0.7500 0.7500 0.7500  4 Ho 3.23, 4 Pa 3.23
Pa: 0.0000 0.0000 0.0000  4 Tl 3.23, 4 Ag 3.23
Ag: 0.2500 0.2500 0.2500  4 Pa 3.23, 4 Ho 3.23
Ho: 0.5000 0.5000 0.5000  4 Ag 3.23, 4 Tl 3.23



(6)
DFT (GGA-PBE) results for a relaxed Ho2Ag3Pb3 crystal.

Properties
crystal system	orthorhombic
energy relative to the elements	-0.24	eV per atom
DOS(E_F)	0.305	states/eV/atom
volume	193.90	Å³ per cell
mass density	10.92	Mg/m³

Cell: 4.7965 4.6714 8.6537 Å, 90.00 90.00 90.00°
Closest atoms and distances in Å follow each position.
Sites, in units of the cell vectors:
Pb: 0.0000 0.5000 0.0000  8 Ag 3.13-3.35, 4 Ho 3.17
Pb: 0.5000 0.0000 0.5000  4 Ho 3.25, 4 Ag 3.29, 4 Pb 3.35
Ho: 0.0000 0.0000 0.2469  6 Pb 3.17-3.25, 6 Ag 3.21-3.35
Ag: 0.5000 0.5000 0.7676  2 Ag 3.08, 6 Pb 3.13-3.33, 4 Ho 3.35
Ho: 0.0000 0.0000 0.7531  6 Pb 3.17-3.25, 6 Ag 3.21-3.35
Pb: 0.0000 0.5000 0.5000  4 Ho 3.20, 4 Ag 3.33, 4 Pb 3.35
Ag: 0.5000 0.0000 0.0000  4 Ag 3.08, 4 Ho 3.21, 4 Pb 3.35
Ag: 0.5000 0.5000 0.2324  2 Ag 3.08, 6 Pb 3.13-3.33, 4 Ho 3.35



(7)
DFT (GGA-PBE) results for a relaxed Ho2AgPb crystal.

Properties
crystal system	monoclinic
energy relative to the elements	-0.39	eV per atom
DOS(E_F)	0.795	states/eV/atom
volume	213.42	Å³ per cell
mass density	10.04	Mg/m³

Cell: 4.6684 6.2201 7.8178 Å, 109.93 90.00 90.00°
Closest atoms and distances in Å follow each position.
Sites, in units of the cell vectors:
Ag: 0.7500 0.6619 0.7971  2 Pb 3.06, 6 Ho 3.06-3.32
Pb: 0.2500 0.3232 0.7089  2 Ag 3.06, 7 Ho 3.16-3.34
Ho: 0.2500 0.7840 0.5867  3 Ag 3.10-3.32, 4 Pb 3.16-3.32
Ho: 0.2500 0.8078 0.0656  3 Ag 3.06-3.10, 3 Pb 3.19-3.34
Ag: 0.2500 0.3381 0.2029  2 Pb 3.06, 6 Ho 3.06-3.32
Ho: 0.7500 0.2160 0.4133  3 Ag 3.10-3.32, 4 Pb 3.16-3.32
Ho: 0.7500 0.1922 0.9344  3 Ag 3.06-3.10, 3 Pb 3.19-3.34
Pb: 0.7500 0.6768 0.2911  2 Ag 3.06, 7 Ho 3.16-3.34



(8)
DFT (GGA-PBE) results for a relaxed Ho3AgPb3 crystal.

Properties
crystal system	monoclinic
energy relative to the elements	-0.38	eV per atom
DOS(E_F)	0.589	states/eV/atom
volume	382.53	Å³ per cell
mass density	10.63	Mg/m³

Cell: 4.5769 6.2504 14.6178 Å, 81.57 80.99 68.52°
Closest atoms and distances in Å follow each position.
Sites, in units of the cell vectors:
Pb: 0.8577 0.7350 0.5497  3 Ag 2.83-3.00
Pb: 0.9967 0.2348 0.7717  1 Ag 2.87, 5 Ho 3.17-3.20, 1 Pb 3.18
Ho: 0.2762 0.2204 0.2271  6 Pb 3.17-3.50, 2 Ag 3.21
Ho: 0.4048 0.2686 0.9218  5 Pb 3.12-3.18
Pb: 0.1355 0.8039 0.9252  5 Ho 3.12-3.19, 2 Pb 3.18-3.29
Ho: 0.5952 0.7314 0.0782  5 Pb 3.12-3.18
Ag: 0.2195 0.9369 0.6240  4 Pb 2.83-3.00
Pb: 0.1423 0.2650 0.4503  3 Ag 2.83-3.00
Ho: 0.7238 0.7796 0.7729  6 Pb 3.17-3.50, 2 Ag 3.21
Ho: 0.5267 0.3283 0.6182  6 Pb 3.20-3.38, 3 Ag 3.22-3.55
Pb: 0.0033 0.7652 0.2283  1 Ag 2.87, 5 Ho 3.17-3.20, 1 Pb 3.18
Ho: 0.4733 0.6717 0.3818  6 Pb 3.20-3.38, 3 Ag 3.22-3.55
Ag: 0.7805 0.0631 0.3760  4 Pb 2.83-3.00
Pb: 0.8645 0.1961 0.0748  5 Ho 3.12-3.19, 2 Pb 3.18-3.29



(9)
DFT (GGA-PBE) results for a relaxed Ho2AgPb3 crystal.

Properties
crystal system	orthorhombic
energy relative to the elements	-0.27	eV per atom
DOS(E_F)	0.612	states/eV/atom
volume	325.62	Å³ per cell
mass density	10.80	Mg/m³

Cell: 6.4369 8.5432 8.5432 Å, 136.12 90.00 90.00°
Closest atoms and distances in Å follow each position.
Sites, in units of the cell vectors:
Ho: 0.5763 0.9275 0.6181  7 Pb 3.12-3.27, 2 Ag 3.41
Pb: 0.3261 0.0002 0.0002  2 Ag 3.19, 6 Pb 3.22-3.38, 4 Ho 3.27
Pb: 0.0763 0.8635 0.5671  5 Ho 3.12-3.27, 2 Ag 3.16, 2 Pb 3.38
Ho: 0.0763 0.3819 0.0725  7 Pb 3.12-3.27, 2 Ag 3.41
Pb: 0.5763 0.4329 0.1365  5 Ho 3.12-3.27, 2 Ag 3.16, 2 Pb 3.38
Ag: 0.8266 0.4996 0.4996  6 Pb 3.16-3.19, 2 Ag 3.22, 4 Ho 3.41
Ag: 0.3266 0.5004 0.5004  6 Pb 3.16-3.19, 2 Ag 3.22, 4 Ho 3.41
Pb: 0.5763 0.1365 0.4329  5 Ho 3.12-3.27, 2 Ag 3.16, 2 Pb 3.38
Ho: 0.5763 0.6181 0.9275  7 Pb 3.12-3.27, 2 Ag 3.41
Ho: 0.0763 0.0725 0.3819  7 Pb 3.12-3.27, 2 Ag 3.41
Pb: 0.8261 0.9998 0.9998  2 Ag 3.19, 6 Pb 3.22-3.38, 4 Ho 3.27
Pb: 0.0763 0.5671 0.8635  5 Ho 3.12-3.27, 2 Ag 3.16, 2 Pb 3.38



(10)
DFT (GGA-PBE) results for a relaxed Ho4Ag3Pb crystal.

Properties
crystal system	trigonal
energy relative to the elements	-0.35	eV per atom
DOS(E_F)	0.688	states/eV/atom
volume	198.91	Å³ per cell
mass density	9.94	Mg/m³

Cell: 5.1668 5.1668 9.1063 Å, 73.52 73.52 60.00°
Closest atoms and distances in Å follow each position.
Sites, in units of the cell vectors:
Ho: 0.1288 0.1288 0.6137  7 Ag 3.04-3.17, 1 Pb 3.32
Ho: 0.8712 0.8712 0.3863  7 Ag 3.04-3.17, 1 Pb 3.32
Pb: 0.0000 0.0000 0.0000  8 Ho 3.21-3.32
Ag: 0.7536 0.7536 0.7392  7 Ho 3.04-3.17
Ag: 0.2464 0.2464 0.2608  7 Ho 3.04-3.17
Ho: 0.3792 0.3792 0.8623  5 Ag 3.12-3.43, 3 Pb 3.21
Ag: 0.5000 0.5000 0.5000  8 Ho 3.12-3.14
Ho: 0.6208 0.6208 0.1377  5 Ag 3.12-3.43, 3 Pb 3.21



(11)
DFT (GGA-PBE) results for a relaxed Ho2Ag3Pb crystal.

Properties
crystal system	orthorhombic
energy relative to the elements	-0.27	eV per atom
DOS(E_F)	0.735	states/eV/atom
volume	279.54	Å³ per cell
mass density	10.23	Mg/m³

Cell: 5.9289 5.9289 9.7419 Å, 114.02 114.02 70.25°
Closest atoms and distances in Å follow each position.
Sites, in units of the cell vectors:
Ho: 0.2422 0.7578 0.0000  10 Ag 3.20-3.34, 2 Pb 3.30, 2 Ho 3.31-3.52
Ag: 0.6740 0.6740 0.8371  2 Ag 2.75-2.76, 1 Pb 2.85
Ag: 0.1631 0.1631 0.8371  2 Ag 2.75-2.76, 1 Pb 2.85
Ho: 0.7578 0.2422 0.0000  10 Ag 3.20-3.34, 2 Pb 3.30, 2 Ho 3.31-3.52
Pb: 0.3349 0.3349 0.6697  3 Ag 2.85-2.88
Ag: 0.3260 0.3260 0.1629  2 Ag 2.75-2.76, 1 Pb 2.85
Pb: 0.6651 0.6651 0.3303  3 Ag 2.85-2.88
Ho: 0.2500 0.7500 0.5000  4 Pb 3.29, 8 Ag 3.30-3.32, 2 Ho 3.41
Ag: 0.8369 0.8369 0.1629  2 Ag 2.75-2.76, 1 Pb 2.85
Ag: 0.1646 0.1646 0.3292  2 Ag 2.76, 1 Pb 2.88
Ho: 0.7500 0.2500 0.5000  4 Pb 3.29, 8 Ag 3.30-3.32, 2 Ho 3.41
Ag: 0.8354 0.8354 0.6708  2 Ag 2.76, 1 Pb 2.88



(12)
DFT (GGA-PBE) results for a relaxed Ho3Ag4Pb2 crystal.

Properties
crystal system	monoclinic
energy relative to the elements	-0.31	eV per atom
DOS(E_F)	0.505	states/eV/atom
volume	215.71	Å³ per cell
mass density	10.32	Mg/m³

Cell: 4.7613 6.0075 9.2548 Å, 115.03 90.00 113.35°
Closest atoms and distances in Å follow each position.
Sites, in units of the cell vectors:
Pb: 0.6143 0.2286 0.2752  3 Ag 2.86
Ag: 0.0830 0.1659 0.4259  1 Ag 2.75, 2 Pb 2.86
Ho: 0.0000 0.0000 0.0000  6 Ag 3.22-3.38, 4 Pb 3.28, 2 Ho 3.56
Ag: 0.2920 0.5840 0.9660  2 Ag 2.73, 1 Pb 2.86
Ho: 0.6592 0.3185 0.6782  8 Ag 3.08-3.40, 3 Pb 3.24-3.33
Ho: 0.3408 0.6815 0.3218  8 Ag 3.08-3.40, 3 Pb 3.24-3.33
Ag: 0.7080 0.4160 0.0340  2 Ag 2.73, 1 Pb 2.86
Ag: 0.9170 0.8341 0.5741  1 Ag 2.75, 2 Pb 2.86
Pb: 0.3857 0.7714 0.7248  3 Ag 2.86



Which of these has the highest volume? Ho3PaAg3Se8



The highest mass density belongs to which entry? HoPaTcAg



Which of these has the highest mass density? HoPaTcAg



Which of these has the lowest mass density? Ho2PaAgS6